[1]
# Tl3RhBr8 PBE relaxed
# ρ: 5.702 Mg/m³
# uncorrected energy: -0.095 Ha/atom
data_Tl3RhBr8
_chemical_formula_sum 'Tl6 Rh2 Br16'
_symmetry_space_group_name_H-M 'I 4/m m m'
_symmetry_Int_Tables_number 139
_symmetry_space_group_name_Hall '-I 4 2'
_cell_length_a 7.4353
_cell_length_b 7.4353
_cell_length_c 14.2778
_cell_angle_alpha 90.00
_cell_angle_beta 90.00
_cell_angle_gamma 90.00
loop_
_atom_site_label
_atom_site_type_symbol
_atom_site_fract_x
_atom_site_fract_y
_atom_site_fract_z
Tl1 Tl 0.0000 0.0000 0.0000
Tl2 Tl 0.0000 0.5000 0.2500
Rh1 Rh 0.0000 0.0000 0.5000
Br1 Br 0.2151 0.2151 0.3884

=====

[2]
# TlRh2Br2 PBE relaxed
# ρ: 7.941 Mg/m³
# uncorrected energy: -0.146 Ha/atom
# E above lowest polymorph: 0.000 eV/atom
data_TlRh2Br2
_chemical_formula_sum 'Tl2 Rh4 Br4'
_symmetry_space_group_name_H-M 'P 4/m b m'
_symmetry_Int_Tables_number 127
_symmetry_space_group_name_Hall '-P 4 2ab'
_cell_length_a 7.0620
_cell_length_b 7.0620
_cell_length_c 4.7802
_cell_angle_alpha 90.00
_cell_angle_beta 90.00
_cell_angle_gamma 90.00
loop_
_atom_site_label
_atom_site_type_symbol
_atom_site_fract_x
_atom_site_fract_y
_atom_site_fract_z
Tl1 Tl 0.0000 0.0000 0.0000
Rh1 Rh 0.1252 0.3748 0.0000
Br1 Br 0.1888 0.3112 0.5000

=====

[3]
# TlRh2Br2 PBE relaxed
# ρ: 8.439 Mg/m³
# uncorrected energy: -0.139 Ha/atom
# E above lowest polymorph: 0.166 eV/atom
data_TlRh2Br2
_chemical_formula_sum 'Tl2 Rh4 Br4'
_symmetry_space_group_name_H-M 'I 4/m m m'
_symmetry_Int_Tables_number 139
_symmetry_space_group_name_Hall '-I 4 2'
_cell_length_a 5.2075
_cell_length_b 5.2075
_cell_length_c 8.2717
_cell_angle_alpha 90.00
_cell_angle_beta 90.00
_cell_angle_gamma 90.00
loop_
_atom_site_label
_atom_site_type_symbol
_atom_site_fract_x
_atom_site_fract_y
_atom_site_fract_z
Tl1 Tl 0.0000 0.0000 0.0000
Rh1 Rh 0.0000 0.0000 0.3271
Br1 Br 0.0000 0.5000 0.2500

=====

[4]
# Tl2RhBr2 PBE relaxed
# ρ: 7.303 Mg/m³
# uncorrected energy: -0.097 Ha/atom
# E above lowest polymorph: 0.545 eV/atom
data_Tl2RhBr2
_chemical_formula_sum 'Tl4 Rh2 Br4'
_symmetry_space_group_name_H-M 'I 4/m m m'
_symmetry_Int_Tables_number 139
_symmetry_space_group_name_Hall '-I 4 2'
_cell_length_a 4.2097
_cell_length_b 4.2097
_cell_length_c 17.2317
_cell_angle_alpha 90.00
_cell_angle_beta 90.00
_cell_angle_gamma 90.00
loop_
_atom_site_label
_atom_site_type_symbol
_atom_site_fract_x
_atom_site_fract_y
_atom_site_fract_z
Tl1 Tl 0.0000 0.5000 0.2500
Rh1 Rh 0.0000 0.0000 0.0000
Br1 Br 0.0000 0.0000 0.4063

=====

[5]
# Tl2RhBr6 PBE relaxed
# ρ: 5.919 Mg/m³
# uncorrected energy: -0.110 Ha/atom
# E above lowest polymorph: 0.000 eV/atom
data_Tl2RhBr6
_chemical_formula_sum 'Tl4 Rh2 Br12'
_symmetry_space_group_name_H-M 'C 1 2/m 1'
_symmetry_Int_Tables_number 12
_symmetry_space_group_name_Hall '-C 2y'
_cell_length_a 12.6836
_cell_length_b 7.3293
_cell_length_c 7.3268
_cell_angle_alpha 90.00
_cell_angle_beta 125.26
_cell_angle_gamma 90.00
loop_
_atom_site_label
_atom_site_type_symbol
_atom_site_fract_x
_atom_site_fract_y
_atom_site_fract_z
Tl1 Tl 0.2500 0.0000 0.2496
Rh1 Rh 0.0000 0.0000 0.5000
Br1 Br 0.9997 0.2405 0.2592
Br2 Br 0.2406 0.0000 0.7399

=====

[6]
# Tm4RhBr5 PBE relaxed
# ρ: 6.372 Mg/m³
# uncorrected energy: -0.175 Ha/atom
data_Tm4RhBr5
_chemical_formula_sum 'Tm8 Rh2 Br10'
_symmetry_space_group_name_H-M 'C 1 2/m 1'
_symmetry_Int_Tables_number 12
_symmetry_space_group_name_Hall '-C 2y'
_cell_length_a 19.0028
_cell_length_b 3.8990
_cell_length_c 8.4444
_cell_angle_alpha 90.00
_cell_angle_beta 101.03
_cell_angle_gamma 90.00
loop_
_atom_site_label
_atom_site_type_symbol
_atom_site_fract_x
_atom_site_fract_y
_atom_site_fract_z
Tm1 Tm 0.0055 0.0000 0.2139
Tm2 Tm 0.1454 0.5000 0.0675
Rh1 Rh 0.0000 0.5000 0.0000
Br1 Br 0.0000 0.5000 0.5000
Br2 Br 0.1686 0.0000 0.3233
Br3 Br 0.1851 0.0000 0.8444

=====

[7]
# Tm2RhBr PBE relaxed
# ρ: 8.442 Mg/m³
# uncorrected energy: -0.205 Ha/atom
# E above lowest polymorph: 0.000 eV/atom
data_Tm2RhBr
_chemical_formula_sum 'Tm6 Rh3 Br3'
_symmetry_space_group_name_H-M 'R -3 m'
_symmetry_Int_Tables_number 166
_symmetry_space_group_name_Hall '-R 3 2"'
_cell_length_a 3.9469
_cell_length_b 3.9469
_cell_length_c 22.7740
_cell_angle_alpha 90.00
_cell_angle_beta 90.00
_cell_angle_gamma 120.00
loop_
_atom_site_label
_atom_site_type_symbol
_atom_site_fract_x
_atom_site_fract_y
_atom_site_fract_z
Tm1 Tm 0.0000 0.0000 0.2306
Rh1 Rh 0.0000 0.0000 0.5000
Br1 Br 0.0000 0.0000 0.0000

=====

[8]
# Tm3RhBr3 PBE relaxed
# ρ: 7.018 Mg/m³
# uncorrected energy: -0.185 Ha/atom
data_Tm3RhBr3
_chemical_formula_sum 'Tm6 Rh2 Br6'
_symmetry_space_group_name_H-M 'P 1 21/m 1'
_symmetry_Int_Tables_number 11
_symmetry_space_group_name_Hall '-P 2yb'
_cell_length_a 8.4659
_cell_length_b 4.0494
_cell_length_c 11.7307
_cell_angle_alpha 90.00
_cell_angle_beta 91.68
_cell_angle_gamma 90.00
loop_
_atom_site_label
_atom_site_type_symbol
_atom_site_fract_x
_atom_site_fract_y
_atom_site_fract_z
Tm1 Tm 0.0995 0.2500 0.3253
Tm2 Tm 0.1482 0.2500 0.8620
Tm3 Tm 0.2646 0.7500 0.1005
Rh1 Rh 0.0525 0.2500 0.0953
Br1 Br 0.1317 0.2500 0.5990
Br2 Br 0.3384 0.7500 0.3589
Br3 Br 0.4331 0.7500 0.8685